# 1
Below is a relaxed VBW crystal, with properties calculated at the GGA-PBE level.

Lattice parameters (Å, degrees): 7.3574 7.3574 3.0730 90.00 90.00 155.46
Sites, in units of the cell vectors:
V 0.2019 0.7981 0.7500
V 0.7981 0.2019 0.2500
B 0.0362 0.9638 0.7500
B 0.9638 0.0362 0.2500
W 0.4113 0.5887 0.7500
W 0.5887 0.4113 0.2500

Computed properties:
Energy: -60.1 eV for the cell shown
E_form: -426 meV per atom
Relative energy among the computed polymorphs: 28 meV per atom
Symmetry: Cmcm, No. 63


# 2
Below is a relaxed VB4W3 crystal, with properties calculated at the GGA-PBE level.

Lattice parameters (Å, degrees): 6.6098 6.6098 4.7227 110.87 110.87 26.87
Sites, in units of the cell vectors:
V 0.0000 0.0000 0.0000
B 0.1323 0.1323 0.4553
B 0.1322 0.1322 0.8089
B 0.8678 0.8678 0.1911
B 0.8677 0.8677 0.5447
W 0.3120 0.3120 0.8124
W 0.5000 0.5000 0.5000
W 0.6880 0.6880 0.1876

Computed properties:
Energy: -77.0 eV for the cell shown
E_form: -284 meV per atom
Symmetry: C2/m, No. 12


# 3
Below is a relaxed Y3VB crystal, with properties calculated at the GGA-PBE level.

Lattice parameters (Å, degrees): 5.0454 5.0454 5.0454 90.00 90.00 90.00
Sites, in units of the cell vectors:
Y 0.0000 0.0000 0.5000
Y 0.0000 0.5000 0.0000
Y 0.5000 0.0000 0.0000
V 0.5000 0.5000 0.5000
B 0.0000 0.0000 0.0000

Computed properties:
Energy: -33.5 eV for the cell shown
E_form: 334 meV per atom
Relative energy among the computed polymorphs: 0 meV per atom
Symmetry: Pm-3m, No. 221


# 4
Below is a relaxed YV3B crystal, with properties calculated at the GGA-PBE level.

Lattice parameters (Å, degrees): 4.2655 4.2655 4.2655 90.00 90.00 90.00
Sites, in units of the cell vectors:
Y 0.0000 0.0000 0.0000
V 0.0000 0.5000 0.5000
V 0.5000 0.0000 0.5000
V 0.5000 0.5000 0.0000
B 0.5000 0.5000 0.5000

Computed properties:
Energy: -39.3 eV for the cell shown
E_form: 236 meV per atom
Relative energy among the computed polymorphs: 0 meV per atom
Symmetry: Pm-3m, No. 221


# 5
Below is a relaxed YV2B crystal, with properties calculated at the GGA-PBE level.

Lattice parameters (Å, degrees): 6.1512 6.1512 6.1512 60.00 60.00 60.00
Sites, in units of the cell vectors:
Y 0.1250 0.1250 0.1250
Y 0.8750 0.8750 0.8750
V 0.0000 0.5000 0.5000
V 0.5000 0.0000 0.5000
V 0.5000 0.5000 0.0000
V 0.5000 0.5000 0.5000
B 0.3750 0.3750 0.3750
B 0.6250 0.6250 0.6250

Computed properties:
Energy: -56.6 eV for the cell shown
E_form: 776 meV per atom
Symmetry: Fd-3m, No. 227


# 6
Below is a relaxed Y2VB crystal, with properties calculated at the GGA-PBE level.

Lattice parameters (Å, degrees): 7.0684 7.0684 7.0684 94.89 94.89 146.05
Sites, in units of the cell vectors:
Y 0.3750 0.2142 0.3392
Y 0.7858 0.1250 0.1608
Y 0.8750 0.0358 0.6608
Y 0.9642 0.6250 0.8392
V 0.2500 0.7500 0.5000
V 0.5000 0.5000 0.0000
B 0.0000 0.0000 0.0000
B 0.7500 0.2500 0.5000

Computed properties:
Energy: -55.2 eV for the cell shown
E_form: 283 meV per atom
Symmetry: I-42d, No. 122